[1]
This record from Alexandria describes a relaxed structure of TaCdSb2. The functional is PBE.

Summary:
total magnetization = 0.00 μB/f.u.
energy = -4.92 eV/atom
energy relative to the elements, uncorrected = 0.337 eV/atom

```
data_TaCdSb2
_cell_length_a 5.862
_cell_length_b 5.862
_cell_length_c 5.381
_cell_angle_alpha 102.11
_cell_angle_beta 102.11
_cell_angle_gamma 30.28
_space_group_name_H-M_alt 'P 1'
_space_group_IT_number 1
_space_group_name_Hall 'P 1'
loop_
_atom_site_label
_atom_site_type_symbol
_atom_site_fract_x
_atom_site_fract_y
_atom_site_fract_z
_atom_site_occupancy
Ta1 Ta 0.000 0.000 0.000 1
Cd1 Cd 0.297 0.297 0.660 1
Sb1 Sb 0.542 0.542 0.508 1
Sb2 Sb 0.745 0.745 0.137 1
```


[2]
This record from Alexandria describes a relaxed structure of TaCdSb. The functional is PBE.

Summary:
total magnetization = 0.00 μB/f.u.
energy = -5.37 eV/atom
energy relative to the elements, uncorrected = 0.258 eV/atom

```
data_TaCdSb
_cell_length_a 8.475
_cell_length_b 8.332
_cell_length_c 3.031
_cell_angle_alpha 82.28
_cell_angle_beta 76.97
_cell_angle_gamma 20.75
_space_group_name_H-M_alt 'P 1'
_space_group_IT_number 1
_space_group_name_Hall 'P 1'
loop_
_atom_site_label
_atom_site_type_symbol
_atom_site_fract_x
_atom_site_fract_y
_atom_site_fract_z
_atom_site_occupancy
Ta1 Ta 0.000 0.000 0.000 1
Cd1 Cd 0.639 0.639 0.361 1
Sb1 Sb 0.364 0.364 0.636 1
```


[3]
This record from Alexandria describes a relaxed structure of Ta2CdSb. The functional is PBE.

Summary:
total magnetization = 0.00 μB/f.u.
energy = -7.00 eV/atom
energy relative to the elements, uncorrected = 0.187 eV/atom

```
data_Ta2CdSb
_cell_length_a 3.630
_cell_length_b 3.630
_cell_length_c 6.136
_cell_angle_alpha 90.00
_cell_angle_beta 90.00
_cell_angle_gamma 90.00
_space_group_name_H-M_alt 'P 1'
_space_group_IT_number 1
_space_group_name_Hall 'P 1'
loop_
_atom_site_label
_atom_site_type_symbol
_atom_site_fract_x
_atom_site_fract_y
_atom_site_fract_z
_atom_site_occupancy
Ta1 Ta 0.000 0.000 0.000 1
Ta2 Ta 0.500 0.500 0.210 1
Cd1 Cd 0.000 0.000 0.471 1
Sb1 Sb 0.500 0.500 0.737 1
```


[4]
This record from Alexandria describes a relaxed structure of ZrTa2CdSb. The functional is PBE.

Summary:
total magnetization = 0.00 μB/f.u.
energy = -6.11 eV/atom
energy relative to the elements, uncorrected = 1.348 eV/atom

```
data_ZrTa2CdSb
_cell_length_a 5.039
_cell_length_b 5.039
_cell_length_c 5.281
_cell_angle_alpha 90.00
_cell_angle_beta 90.00
_cell_angle_gamma 90.00
_space_group_name_H-M_alt 'P 1'
_space_group_IT_number 1
_space_group_name_Hall 'P 1'
loop_
_atom_site_label
_atom_site_type_symbol
_atom_site_fract_x
_atom_site_fract_y
_atom_site_fract_z
_atom_site_occupancy
Zr1 Zr 0.000 0.000 0.000 1
Ta1 Ta 0.000 0.500 0.500 1
Ta2 Ta 0.500 0.000 0.500 1
Cd1 Cd 0.500 0.500 0.000 1
Sb1 Sb 0.000 0.000 0.500 1
```


[5]
This record from Alexandria describes a relaxed structure of Tb6Cd5Sb. The functional is PBE.

Summary:
total magnetization = 0.00 μB/f.u.
energy = -3.47 eV/atom
energy relative to the elements, uncorrected = -0.426 eV/atom

```
data_Tb6Cd5Sb
_cell_length_a 9.231
_cell_length_b 9.231
_cell_length_c 9.231
_cell_angle_alpha 146.42
_cell_angle_beta 132.62
_cell_angle_gamma 59.31
_space_group_name_H-M_alt 'P 1'
_space_group_IT_number 1
_space_group_name_Hall 'P 1'
loop_
_atom_site_label
_atom_site_type_symbol
_atom_site_fract_x
_atom_site_fract_y
_atom_site_fract_z
_atom_site_occupancy
Tb1 Tb 0.082 0.335 0.747 1
Tb2 Tb 0.247 0.000 0.247 1
Tb3 Tb 0.412 0.665 0.747 1
Tb4 Tb 0.588 0.335 0.253 1
Tb5 Tb 0.753 0.000 0.753 1
Tb6 Tb 0.918 0.665 0.253 1
Cd1 Cd 0.178 0.178 0.000 1
Cd2 Cd 0.333 0.833 0.500 1
Cd3 Cd 0.500 0.500 0.000 1
Cd4 Cd 0.667 0.167 0.500 1
Cd5 Cd 0.822 0.822 0.000 1
Sb1 Sb 0.000 0.500 0.500 1
```


[6]
This record from Alexandria describes a relaxed structure of TbCdSb2. The functional is PBE.

Summary:
total magnetization = 0.00 μB/f.u.
energy = -3.98 eV/atom
energy relative to the elements, uncorrected = -0.528 eV/atom

```
data_TbCdSb2
_cell_length_a 4.371
_cell_length_b 4.371
_cell_length_c 11.011
_cell_angle_alpha 90.00
_cell_angle_beta 90.00
_cell_angle_gamma 90.00
_space_group_name_H-M_alt 'P 1'
_space_group_IT_number 1
_space_group_name_Hall 'P 1'
loop_
_atom_site_label
_atom_site_type_symbol
_atom_site_fract_x
_atom_site_fract_y
_atom_site_fract_z
_atom_site_occupancy
Tb1 Tb 0.250 0.250 0.219 1
Tb2 Tb 0.750 0.750 0.781 1
Cd1 Cd 0.250 0.750 0.500 1
Cd2 Cd 0.750 0.250 0.500 1
Sb1 Sb 0.250 0.250 0.708 1
Sb2 Sb 0.250 0.750 0.000 1
Sb3 Sb 0.750 0.250 0.000 1
Sb4 Sb 0.750 0.750 0.292 1
```


[7]
This record from Alexandria describes a relaxed structure of Tb2CdSb4. The functional is PBE.

Summary:
total magnetization = 0.00 μB/f.u.
energy = -4.46 eV/atom
energy relative to the elements, uncorrected = -0.646 eV/atom

```
data_Tb2CdSb4
_cell_length_a 4.319
_cell_length_b 4.319
_cell_length_c 10.622
_cell_angle_alpha 90.00
_cell_angle_beta 90.00
_cell_angle_gamma 90.00
_space_group_name_H-M_alt 'P 1'
_space_group_IT_number 1
_space_group_name_Hall 'P 1'
loop_
_atom_site_label
_atom_site_type_symbol
_atom_site_fract_x
_atom_site_fract_y
_atom_site_fract_z
_atom_site_occupancy
Tb1 Tb 0.000 0.500 0.232 1
Tb2 Tb 0.500 0.000 0.768 1
Cd1 Cd 0.000 0.000 0.500 1
Sb1 Sb 0.000 0.000 0.000 1
Sb2 Sb 0.000 0.500 0.680 1
Sb3 Sb 0.500 0.000 0.320 1
Sb4 Sb 0.500 0.500 0.000 1
```


[8]
This record from Alexandria describes a relaxed structure of TbCdSb2. The functional is PBE.

Summary:
total magnetization = 0.00 μB/f.u.
energy = -3.80 eV/atom
energy relative to the elements, uncorrected = -0.357 eV/atom

```
data_TbCdSb2
_cell_length_a 7.324
_cell_length_b 7.324
_cell_length_c 7.324
_cell_angle_alpha 35.40
_cell_angle_beta 35.40
_cell_angle_gamma 35.40
_space_group_name_H-M_alt 'P 1'
_space_group_IT_number 1
_space_group_name_Hall 'P 1'
loop_
_atom_site_label
_atom_site_type_symbol
_atom_site_fract_x
_atom_site_fract_y
_atom_site_fract_z
_atom_site_occupancy
Tb1 Tb 0.000 0.000 0.000 1
Cd1 Cd 0.500 0.500 0.500 1
Sb1 Sb 0.248 0.248 0.248 1
Sb2 Sb 0.752 0.752 0.752 1
```


[9]
This record from Alexandria describes a relaxed structure of TbCdSb2. The functional is PBE.

Summary:
total magnetization = 0.00 μB/f.u.
energy = -3.93 eV/atom
energy relative to the elements, uncorrected = -0.484 eV/atom

```
data_TbCdSb2
_cell_length_a 4.981
_cell_length_b 4.981
_cell_length_c 4.163
_cell_angle_alpha 90.00
_cell_angle_beta 90.00
_cell_angle_gamma 90.00
_space_group_name_H-M_alt 'P 1'
_space_group_IT_number 1
_space_group_name_Hall 'P 1'
loop_
_atom_site_label
_atom_site_type_symbol
_atom_site_fract_x
_atom_site_fract_y
_atom_site_fract_z
_atom_site_occupancy
Tb1 Tb 0.000 0.000 0.000 1
Cd1 Cd 0.500 0.500 0.000 1
Sb1 Sb 0.000 0.500 0.500 1
Sb2 Sb 0.500 0.000 0.500 1
```


[10]
This record from Alexandria describes a relaxed structure of TbCd2Sb. The functional is PBE.

Summary:
total magnetization = 0.00 μB/f.u.
energy = -2.45 eV/atom
energy relative to the elements, uncorrected = 0.197 eV/atom

```
data_TbCd2Sb
_cell_length_a 11.706
_cell_length_b 11.706
_cell_length_c 11.706
_cell_angle_alpha 16.42
_cell_angle_beta 16.42
_cell_angle_gamma 16.42
_space_group_name_H-M_alt 'P 1'
_space_group_IT_number 1
_space_group_name_Hall 'P 1'
loop_
_atom_site_label
_atom_site_type_symbol
_atom_site_fract_x
_atom_site_fract_y
_atom_site_fract_z
_atom_site_occupancy
Tb1 Tb 0.000 0.000 0.000 1
Cd1 Cd 0.090 0.090 0.090 1
Cd2 Cd 0.910 0.910 0.910 1
Sb1 Sb 0.500 0.500 0.500 1
```


[11]
This record from Alexandria describes a relaxed structure of TbCd2Sb. The functional is PBE.

Summary:
total magnetization = 0.00 μB/f.u.
energy = -3.12 eV/atom
energy relative to the elements, uncorrected = -0.471 eV/atom

```
data_TbCd2Sb
_cell_length_a 4.425
_cell_length_b 4.425
_cell_length_c 5.097
_cell_angle_alpha 90.00
_cell_angle_beta 90.00
_cell_angle_gamma 90.00
_space_group_name_H-M_alt 'P 1'
_space_group_IT_number 1
_space_group_name_Hall 'P 1'
loop_
_atom_site_label
_atom_site_type_symbol
_atom_site_fract_x
_atom_site_fract_y
_atom_site_fract_z
_atom_site_occupancy
Tb1 Tb 0.000 0.000 0.000 1
Cd1 Cd 0.000 0.500 0.500 1
Cd2 Cd 0.500 0.000 0.500 1
Sb1 Sb 0.500 0.500 0.000 1
```


[12]
This record from Alexandria describes a relaxed structure of TbCdSb. The functional is PBE.

Summary:
total magnetization = 0.00 μB/f.u.
energy = -3.66 eV/atom
energy relative to the elements, uncorrected = -0.435 eV/atom

```
data_TbCdSb
_cell_length_a 4.186
_cell_length_b 5.722
_cell_length_c 7.425
_cell_angle_alpha 84.74
_cell_angle_beta 89.91
_cell_angle_gamma 69.14
_space_group_name_H-M_alt 'P 1'
_space_group_IT_number 1
_space_group_name_Hall 'P 1'
loop_
_atom_site_label
_atom_site_type_symbol
_atom_site_fract_x
_atom_site_fract_y
_atom_site_fract_z
_atom_site_occupancy
Tb1 Tb 0.042 0.391 0.266 1
Tb2 Tb 0.958 0.609 0.734 1
Cd1 Cd 0.344 0.810 0.036 1
Cd2 Cd 0.656 0.190 0.964 1
Sb1 Sb 0.393 0.786 0.435 1
Sb2 Sb 0.607 0.214 0.565 1
```


[13]
This record from Alexandria describes a relaxed structure of Tb5Cd2Sb. The functional is PBE.

Summary:
total magnetization = 0.00 μB/f.u.
energy = -4.06 eV/atom
energy relative to the elements, uncorrected = -0.425 eV/atom

```
data_Tb5Cd2Sb
_cell_length_a 8.752
_cell_length_b 8.752
_cell_length_c 8.752
_cell_angle_alpha 122.69
_cell_angle_beta 122.69
_cell_angle_gamma 85.40
_space_group_name_H-M_alt 'P 1'
_space_group_IT_number 1
_space_group_name_Hall 'P 1'
loop_
_atom_site_label
_atom_site_type_symbol
_atom_site_fract_x
_atom_site_fract_y
_atom_site_fract_z
_atom_site_occupancy
Tb1 Tb 0.000 0.000 0.000 1
Tb2 Tb 0.004 0.504 0.810 1
Tb3 Tb 0.194 0.004 0.500 1
Tb4 Tb 0.306 0.806 0.810 1
Tb5 Tb 0.496 0.306 0.500 1
Tb6 Tb 0.500 0.500 0.000 1
Tb7 Tb 0.504 0.694 0.500 1
Tb8 Tb 0.694 0.194 0.190 1
Tb9 Tb 0.806 0.996 0.500 1
Tb10 Tb 0.996 0.496 0.190 1
Cd1 Cd 0.138 0.362 0.500 1
Cd2 Cd 0.362 0.862 0.225 1
Cd3 Cd 0.638 0.138 0.775 1
Cd4 Cd 0.862 0.638 0.500 1
Sb1 Sb 0.250 0.250 0.000 1
Sb2 Sb 0.750 0.750 0.000 1
```


[14]
This record from Alexandria describes a relaxed structure of CdTc2Sb. The functional is PBE.

Summary:
total magnetization = 0.00 μB/f.u.
energy = -6.15 eV/atom
energy relative to the elements, uncorrected = 0.293 eV/atom

```
data_CdTc2Sb
_cell_length_a 10.187
_cell_length_b 10.187
_cell_length_c 10.187
_cell_angle_alpha 16.94
_cell_angle_beta 16.94
_cell_angle_gamma 16.94
_space_group_name_H-M_alt 'P 1'
_space_group_IT_number 1
_space_group_name_Hall 'P 1'
loop_
_atom_site_label
_atom_site_type_symbol
_atom_site_fract_x
_atom_site_fract_y
_atom_site_fract_z
_atom_site_occupancy
Cd1 Cd 0.000 0.000 0.000 1
Tc1 Tc 0.478 0.478 0.478 1
Tc2 Tc 0.748 0.748 0.748 1
Sb1 Sb 0.219 0.219 0.219 1
```


[15]
This record from Alexandria describes a relaxed structure of CdTcSb2. The functional is PBE.

Summary:
total magnetization = 0.64 μB/f.u.
energy = -4.68 eV/atom
energy relative to the elements, uncorrected = 0.205 eV/atom

```
data_CdTcSb2
_cell_length_a 5.395
_cell_length_b 5.395
_cell_length_c 6.554
_cell_angle_alpha 110.98
_cell_angle_beta 110.98
_cell_angle_gamma 34.23
_space_group_name_H-M_alt 'P 1'
_space_group_IT_number 1
_space_group_name_Hall 'P 1'
loop_
_atom_site_label
_atom_site_type_symbol
_atom_site_fract_x
_atom_site_fract_y
_atom_site_fract_z
_atom_site_occupancy
Cd1 Cd 0.000 0.000 0.000 1
Tc1 Tc 0.731 0.731 0.988 1
Sb1 Sb 0.158 0.158 0.634 1
Sb2 Sb 0.334 0.334 0.344 1
```